# Rb3YAg | Alexandria | GGA-PBE | relaxed
# Calculated formation energy: 0.621 eV per atom
# DFT total energy: -9.11 eV for the cell shown
data_Rb3YAg
_cell_length_a 6.7622
_cell_length_b 6.7622
_cell_length_c 6.7622
_cell_angle_alpha 90.00
_cell_angle_beta 90.00
_cell_angle_gamma 90.00
_space_group_name_H-M_alt 'P m -3 m'
_space_group_IT_number 221
_space_group_name_Hall '-P 4 2 3'
loop_
_atom_site_label
_atom_site_type_symbol
_atom_site_fract_x
_atom_site_fract_y
_atom_site_fract_z
Rb1 Rb 0.0000 0.0000 0.5000
Y1 Y 0.5000 0.5000 0.5000
Ag1 Ag 0.0000 0.0000 0.0000

---

# Rb3YAg | Alexandria | GGA-PBE | relaxed
# Calculated formation energy: 0.988 eV per atom
# DFT total energy: -7.28 eV for the cell shown
data_Rb3YAg
_cell_length_a 7.5337
_cell_length_b 7.5337
_cell_length_c 7.5337
_cell_angle_alpha 90.00
_cell_angle_beta 90.00
_cell_angle_gamma 90.00
_space_group_name_H-M_alt 'P m -3 m'
_space_group_IT_number 221
_space_group_name_Hall '-P 4 2 3'
loop_
_atom_site_label
_atom_site_type_symbol
_atom_site_fract_x
_atom_site_fract_y
_atom_site_fract_z
Rb1 Rb 0.0000 0.0000 0.5000
Y1 Y 0.0000 0.0000 0.0000
Ag1 Ag 0.5000 0.5000 0.5000

---

# RbYAg3 | Alexandria | GGA-PBE | relaxed
# Calculated formation energy: 1.037 eV per atom
# DFT total energy: -10.80 eV for the cell shown
data_RbYAg3
_cell_length_a 5.5515
_cell_length_b 5.5515
_cell_length_c 5.5515
_cell_angle_alpha 90.00
_cell_angle_beta 90.00
_cell_angle_gamma 90.00
_space_group_name_H-M_alt 'P m -3 m'
_space_group_IT_number 221
_space_group_name_Hall '-P 4 2 3'
loop_
_atom_site_label
_atom_site_type_symbol
_atom_site_fract_x
_atom_site_fract_y
_atom_site_fract_z
Rb1 Rb 0.0000 0.0000 0.0000
Y1 Y 0.5000 0.5000 0.5000
Ag1 Ag 0.0000 0.0000 0.5000

---

# RbYZnAg2 | Alexandria | GGA-PBE | relaxed
# Calculated formation energy: 0.555 eV per atom
# DFT total energy: -11.63 eV for the cell shown
data_RbYZnAg2
_cell_length_a 5.1062
_cell_length_b 5.1062
_cell_length_c 5.4999
_cell_angle_alpha 90.00
_cell_angle_beta 90.00
_cell_angle_gamma 90.00
_space_group_name_H-M_alt 'P 4/m m m'
_space_group_IT_number 123
_space_group_name_Hall '-P 4 2'
loop_
_atom_site_label
_atom_site_type_symbol
_atom_site_fract_x
_atom_site_fract_y
_atom_site_fract_z
Rb1 Rb 0.0000 0.0000 0.0000
Y1 Y 0.5000 0.5000 0.0000
Zn1 Zn 0.0000 0.0000 0.5000
Ag1 Ag 0.0000 0.5000 0.5000

---

# RbZnAg4 | Alexandria | GGA-PBE | relaxed
# Calculated formation energy: 0.175 eV per atom
# DFT total energy: -50.39 eV for the cell shown
data_RbZnAg4
_cell_length_a 8.1828
_cell_length_b 8.1828
_cell_length_c 8.1828
_cell_angle_alpha 90.00
_cell_angle_beta 90.00
_cell_angle_gamma 90.00
_space_group_name_H-M_alt 'F -4 3 m'
_space_group_IT_number 216
_space_group_name_Hall 'F -4 2 3'
loop_
_atom_site_label
_atom_site_type_symbol
_atom_site_fract_x
_atom_site_fract_y
_atom_site_fract_z
Rb1 Rb 0.0000 0.0000 0.0000
Zn1 Zn 0.2500 0.2500 0.7500
Ag1 Ag 0.1240 0.1240 0.3760

---

# RbZn4Ag | Alexandria | GGA-PBE | relaxed
# Calculated formation energy: 0.175 eV per atom
# DFT total energy: -31.46 eV for the cell shown
data_RbZn4Ag
_cell_length_a 7.8985
_cell_length_b 7.8985
_cell_length_c 7.8985
_cell_angle_alpha 90.00
_cell_angle_beta 90.00
_cell_angle_gamma 90.00
_space_group_name_H-M_alt 'F -4 3 m'
_space_group_IT_number 216
_space_group_name_Hall 'F -4 2 3'
loop_
_atom_site_label
_atom_site_type_symbol
_atom_site_fract_x
_atom_site_fract_y
_atom_site_fract_z
Rb1 Rb 0.0000 0.0000 0.0000
Zn1 Zn 0.1222 0.1222 0.3778
Ag1 Ag 0.2500 0.2500 0.7500

---

# Rb2ZnAg2 | Alexandria | GGA-PBE | relaxed
# Calculated formation energy: 0.188 eV per atom
# DFT total energy: -15.94 eV for the cell shown
data_Rb2ZnAg2
_cell_length_a 3.9909
_cell_length_b 3.9909
_cell_length_c 22.0224
_cell_angle_alpha 90.00
_cell_angle_beta 90.00
_cell_angle_gamma 90.00
_space_group_name_H-M_alt 'I 4/m m m'
_space_group_IT_number 139
_space_group_name_Hall '-I 4 2'
loop_
_atom_site_label
_atom_site_type_symbol
_atom_site_fract_x
_atom_site_fract_y
_atom_site_fract_z
Rb1 Rb 0.0000 0.0000 0.1138
Zn1 Zn 0.0000 0.0000 0.5000
Ag1 Ag 0.0000 0.5000 0.2500

---

# Rb2ZnAg | Alexandria | GGA-PBE | relaxed
# Calculated formation energy: 0.271 eV per atom
# DFT total energy: -19.90 eV for the cell shown
data_Rb2ZnAg
_cell_length_a 9.7232
_cell_length_b 9.7232
_cell_length_c 7.6173
_cell_angle_alpha 90.00
_cell_angle_beta 90.00
_cell_angle_gamma 90.00
_space_group_name_H-M_alt 'I -4 2 d'
_space_group_IT_number 122
_space_group_name_Hall 'I -4 2bw'
loop_
_atom_site_label
_atom_site_type_symbol
_atom_site_fract_x
_atom_site_fract_y
_atom_site_fract_z
Rb1 Rb 0.2400 0.7500 0.1250
Zn1 Zn 0.0000 0.0000 0.5000
Ag1 Ag 0.0000 0.0000 0.0000

---

| no. | size of the total moment (μB/atom) | DOS(E_F) (states/eV per cell) |
| --- | --- | --- |
| 1 | 0.35 | 6.9 |
| 2 | 0.60 | 17.6 |
| 3 | 0.00 | 2.8 |
| 4 | 0.00 | 3.5 |
| 5 | 0.00 | 12.7 |
| 6 | 0.00 | 6.7 |
| 7 | 0.00 | 4.8 |
| 8 | 0.00 | 10.3 |